1.
Mg3H2Ir4 PBE optimized geometry; N(E_F) = 4.64 states/eV/f.u.; energy relative to the lowest polymorph listed for this composition = 0.000 eV/atom; DFT total energy = -5.393 eV/atom
1.0
4.821 -0.002 -1.553
-2.157 4.019 -0.004
-0.001 0.001 6.652
Mg H Ir
3 2 4
Direct
0.135 0.494 0.475
0.638 0.247 0.652
0.886 0.943 0.063
0.479 0.343 0.937
0.294 0.751 0.190
0.095 0.973 0.736
0.252 0.559 0.939
0.520 0.193 0.188
0.678 0.765 0.391



2.
TbTmPuO6 PBE optimized geometry; N(E_F) = 7.46 states/eV/f.u.; DFT total energy = -8.996 eV/atom; raw formation energy = -3.09 eV per atom
1.0
5.673 0.000 0.000
-2.836 4.913 0.000
0.000 0.000 9.520
Tb Tm Pu O
2 2 2 12
Direct
0.000 0.000 0.000
0.000 0.000 0.500
0.333 0.667 0.250
0.667 0.333 0.750
0.667 0.333 0.250
0.333 0.667 0.750
0.665 0.644 0.135
0.979 0.335 0.135
0.335 0.979 0.635
0.021 0.665 0.865
0.356 0.335 0.365
0.979 0.644 0.365
0.644 0.979 0.865
0.665 0.021 0.365
0.021 0.356 0.635
0.356 0.021 0.135
0.644 0.665 0.635
0.335 0.356 0.865



3.
MgCr2BRu PBE optimized geometry; N(E_F) = 6.15 states/eV/f.u.; energy of formation from the pure elements = 264 meV per atom; energy relative to the lowest polymorph listed for this composition = 0.000 eV/atom; DFT total energy = -7.095 eV/atom
1.0
3.973 0.000 0.000
0.000 4.115 0.000
0.000 0.000 3.973
Ru Mg B Cr
1 1 1 2
Direct
0.000 0.500 0.000
0.500 0.500 0.500
0.000 0.000 0.000
0.000 0.000 0.500
0.500 0.000 0.000